## ZrV2Os2 (PBE-GGA)

Data for a geometry-optimized ZrV2Os2 structure.

Cell: 7.4274 7.4274 2.8315 Å, 90.00 90.00 90.00°
Element x y z (fractional)
V 0.6447 0.1447 0.0000
V 0.1447 0.3553 0.0000
Os 0.1506 0.6506 0.5000
Os 0.8494 0.3494 0.5000
V 0.8553 0.6447 0.0000
Zr 0.0000 0.0000 0.0000
V 0.3553 0.8553 0.0000
Zr 0.5000 0.5000 0.0000
Os 0.6506 0.8494 0.5000
Os 0.3494 0.1506 0.5000

Results
The calculation puts the total magnetization at 0.00 μB per formula unit. Its formation energy is -130 meV/atom. The value obtained for the density of states at the Fermi level is 13.11 states/eV per cell. The value obtained for the total energy is -99.79 eV per cell.